[1]
Material: Tb2AgPt
Method: DFT, GGA-PBE
State: optimized geometry

```
data_Tb2AgPt
_cell_length_a 4.1262
_cell_length_b 4.1262
_cell_length_c 21.3145
_cell_angle_alpha 90.00
_cell_angle_beta 90.00
_cell_angle_gamma 120.00
_symmetry_space_group_name_H-M 'R 3 m'
_symmetry_Int_Tables_number 160
_symmetry_space_group_name_Hall 'R 3 -2"'
loop_
_atom_site_label
_atom_site_type_symbol
_atom_site_fract_x
_atom_site_fract_y
_atom_site_fract_z
_atom_site_occupancy
Tb1 Tb 0.0000 0.0000 0.0000 1
Tb2 Tb 0.0000 0.0000 0.1882 1
Ag1 Ag 0.0000 0.0000 0.7589 1
Pt1 Pt 0.0000 0.0000 0.5953 1
```

Values from the calculation:
Energy in eV per cell: -62.62
Total magnetic moment in μB per formula unit: 0.00
E_form in eV/atom: -0.680

[2]
Material: Rb2NF
Method: DFT, GGA-PBE
State: optimized geometry

```
data_Rb2NF
_cell_length_a 7.131
_cell_length_b 7.131
_cell_length_c 7.131
_cell_angle_alpha 90.00
_cell_angle_beta 90.00
_cell_angle_gamma 90.00
_symmetry_space_group_name_H-M 'F m -3 m'
_symmetry_Int_Tables_number 225
_symmetry_space_group_name_Hall '-F 4 2 3'
loop_
_atom_site_label
_atom_site_type_symbol
_atom_site_fract_x
_atom_site_fract_y
_atom_site_fract_z
_atom_site_occupancy
Rb1 Rb 0.250 0.250 0.250 1
N1 N 0.000 0.000 0.000 1
F1 F 0.000 0.000 0.500 1
```

Values from the calculation:
Energy in eV per cell: -56.13
Raw formation energy in meV per atom: -475
Total magnetic moment in μB per formula unit: 2.00

[3]
Material: Ac3Pr2
Method: DFT, GGA-PBE
State: optimized geometry

```
data_Ac3Pr2
_cell_length_a 10.304
_cell_length_b 10.304
_cell_length_c 3.964
_cell_angle_alpha 90.00
_cell_angle_beta 90.00
_cell_angle_gamma 90.00
_symmetry_space_group_name_H-M 'P 4/m b m'
_symmetry_Int_Tables_number 127
_symmetry_space_group_name_Hall '-P 4 2ab'
loop_
_atom_site_label
_atom_site_type_symbol
_atom_site_fract_x
_atom_site_fract_y
_atom_site_fract_z
_atom_site_occupancy
Ac1 Ac 0.000 0.000 0.000 1
Ac2 Ac 0.176 0.324 0.500 1
Pr1 Pr 0.122 0.622 0.000 1
```

Values from the calculation:
Energy in eV per cell: -42.95
Total magnetic moment in μB per formula unit: 0.00
E_form in eV/atom: 0.082

[4]
Material: LaSm8Mg2
Method: DFT, GGA-PBE
State: optimized geometry

```
data_LaSm8Mg2
_cell_length_a 17.170
_cell_length_b 5.351
_cell_length_c 8.431
_cell_angle_alpha 90.00
_cell_angle_beta 113.03
_cell_angle_gamma 90.00
_symmetry_space_group_name_H-M 'C 1 2/m 1'
_symmetry_Int_Tables_number 12
loop_
_symmetry_equiv_pos_as_xyz
'x,y,z'
'-x,-y,-z'
'-x,y,-z'
'x,-y,z'
'x+1/2,y+1/2,z'
'-x+1/2,-y+1/2,-z'
'-x+1/2,y+1/2,-z'
'x+1/2,-y+1/2,z'
loop_
_atom_site_label
_atom_site_type_symbol
_atom_site_fract_x
_atom_site_fract_y
_atom_site_fract_z
_atom_site_occupancy
La1 La 0.000 0.000 0.000 1
Sm1 Sm 0.052 0.500 0.735 1
Sm2 Sm 0.100 0.000 0.471 1
Sm3 Sm 0.149 0.500 0.206 1
Sm4 Sm 0.187 0.000 0.950 1
Mg1 Mg 0.226 0.500 0.631 1
```

Values from the calculation:
Energy in eV per cell: -91.43
Total magnetic moment in μB per formula unit: 0.00
E_form in eV/atom: 0.014